{"formula": "In4SnI5", "functional": "PBE", "state": "optimized geometry", "spacegroup": "No. 79", "raw_formation_energy_ev_per_atom": -0.3267, "volume_a3_per_atom": 41.99, "n_ef_per_ev_cell": 3.53, "lattice": [[-5.464, 5.464, 3.516], [5.464, -5.464, 3.516], [5.464, 5.464, -3.516]], "species": ["In", "In", "In", "In", "Sn", "I", "I", "I", "I", "I"], "fractional_positions": [[0.093, 0.300, 0.392], [0.300, 0.907, 0.207], [0.700, 0.093, 0.793], [0.907, 0.700, 0.608], [0.504, 0.504, 0.000], [0.006, 0.006, 0.000], [0.219, 0.601, 0.819], [0.399, 0.219, 0.618], [0.601, 0.781, 0.382], [0.781, 0.399, 0.181]]}